Entry 1:
A plane-wave DFT calculation with PBE was carried out for YMg2Cu after structural relaxation.

The total energy comes out at -3.416 eV/atom. Its space-group type is F-43m, No. 216.

Geometry as POSCAR:
```
YMg2Cu
1.0
-3.8116 2.9841 0.7118
-1.5594 2.8855 -3.6308
-4.2738 -0.9240 -2.1956
Cu Mg Y
1 2 1
Cartesian
-4.8224 2.4728 -2.5573 Cu
0.0000 0.0000 0.0000 Mg
-7.2337 3.7092 -3.8360 Mg
-2.4112 1.2364 -1.2787 Y
```

---

Entry 2:
A plane-wave DFT calculation with PBE was carried out for SmYTlCo2 after structural relaxation.

The total energy comes out at -5.814 eV/atom. Its space-group type is Amm2, No. 38.

Geometry as POSCAR:
```
SmYTlCo2
1.0
3.9462 0.0000 0.0000
0.0000 1.9276 7.0203
0.0000 -1.9276 7.0203
Tl Co Y Sm
1 2 1 1
Cartesian
1.9731 0.0000 0.0339 Tl
1.9731 0.0000 11.0996 Co
1.9731 0.0000 2.9114 Co
0.0000 0.0000 8.9655 Y
0.0000 0.0000 5.0707 Sm
```

---

Entry 3:
A plane-wave DFT calculation with PBE was carried out for HoErCu6 after structural relaxation.

The calculation puts the formation energy at -0.187 eV/atom. Its space-group type is Pmm2, No. 25.

Geometry as POSCAR:
```
HoErCu6
1.0
-0.2352 -1.6916 -4.0298
-4.1725 -3.5935 1.7520
-3.4830 3.4394 -1.2405
Cu Ho Er
6 1 1
Cartesian
-4.6765 0.7611 -0.0465 Cu
-2.1913 0.4336 -0.0541 Cu
-4.4919 -1.5477 0.9119 Cu
-3.4860 0.3835 -2.3343 Cu
-5.3899 -1.2562 -1.5349 Cu
-0.9933 0.0189 -2.3268 Cu
-2.6899 -2.1626 -1.3120 Ho
-3.0013 2.9637 -1.0689 Er
```